(1)
# Pm3Pr6NdDy2 | Alexandria | PBE-GGA | relaxed
data_Pm3Pr6NdDy2
_cell_length_a 6.3639
_cell_length_b 11.0234
_cell_length_c 12.1053
_cell_angle_alpha 90.00
_cell_angle_beta 100.10
_cell_angle_gamma 90.00
_space_group_name_H-M_alt 'C 1 2/m 1'
_space_group_IT_number 12
_space_group_name_Hall '-C 2y'
loop_
_atom_site_label
_atom_site_fract_x
_atom_site_fract_y
_atom_site_fract_z
Pm1 0.0000 0.0000 0.0000
Pm2 0.0000 0.3332 0.0000
Pr1 0.2491 0.0000 0.7482
Pr2 0.2497 0.1671 0.2517
Nd1 0.0000 0.5000 0.5000
Dy1 0.0000 0.1666 0.5000
# DOS at the Fermi energy	33.8	states/eV per cell
# total magnetization	0.00	μB/cell
# ΔH_f (0 K)	0.01	eV per atom

(2)
# Mg2CuIr | Alexandria | PBE-GGA | relaxed
data_Mg2CuIr
_cell_length_a 2.8836
_cell_length_b 3.9904
_cell_length_c 5.4793
_cell_angle_alpha 90.00
_cell_angle_beta 90.00
_cell_angle_gamma 90.00
_space_group_name_H-M_alt 'P m m 2'
_space_group_IT_number 25
_space_group_name_Hall 'P 2 -2'
loop_
_atom_site_label
_atom_site_fract_x
_atom_site_fract_y
_atom_site_fract_z
Mg1 0.0000 0.0000 0.0000
Mg2 0.5000 0.5000 0.3097
Cu1 0.0000 0.0000 0.5354
Ir1 0.5000 0.5000 0.7951
# DOS at the Fermi energy	2.3	states/eV per cell
# total magnetization	0.00	μB/cell
# ΔH_f (0 K)	-0.10	eV per atom